No. 1
A PBEsol-optimized structure of TlIn2Hg, computed with SCAN.

a = 4.516 Å, b = 4.516 Å, c = 9.942 Å
α = 90.00°, β = 90.00°, γ = 90.00°
Atoms (fractional coordinates):
Tl 0.000 0.000 0.000
Tl 0.500 0.500 0.500
In 0.000 0.500 0.250
In 0.000 0.500 0.750
In 0.500 0.000 0.250
In 0.500 0.000 0.750
Hg 0.000 0.000 0.500
Hg 0.500 0.500 0.000

Energy relative to the elements in eV/atom: 0.058


No. 2
A PBEsol-optimized structure of Be5Cr, computed with SCAN.

a = 3.265 Å, b = 9.363 Å, c = 3.306 Å
α = 90.00°, β = 90.00°, γ = 90.00°
Atoms (fractional coordinates):
Be 0.000 0.000 0.000
Be 0.000 0.179 0.500
Be 0.000 0.335 0.000
Be 0.000 0.665 0.000
Be 0.000 0.821 0.500
Be 0.500 0.165 0.000
Be 0.500 0.321 0.500
Be 0.500 0.500 0.000
Be 0.500 0.679 0.500
Be 0.500 0.835 0.000
Cr 0.000 0.500 0.500
Cr 0.500 0.000 0.500

Energy relative to the elements in eV/atom: -0.007


No. 3
A PBEsol-optimized structure of Ta2AlSi, computed with SCAN.

a = 5.641 Å, b = 8.128 Å, c = 2.822 Å
α = 90.00°, β = 103.52°, γ = 90.00°
Atoms (fractional coordinates):
Ta 0.250 0.250 0.000
Ta 0.250 0.750 0.000
Ta 0.750 0.250 0.000
Ta 0.750 0.750 0.000
Al 0.000 0.000 0.500
Al 0.500 0.500 0.500
Si 0.000 0.500 0.500
Si 0.500 0.000 0.500

Energy relative to the elements, uncorrected in eV/atom: -0.209


No. 4
A PBEsol-optimized structure of Sr5Ca3Ti5Mn3O24, computed with SCAN.

a = 7.648 Å, b = 7.651 Å, c = 7.659 Å
α = 90.00°, β = 89.91°, γ = 89.94°
Atoms (fractional coordinates):
Sr 0.000 0.000 0.000
Sr 0.000 0.000 0.498
Sr 0.013 0.489 0.486
Sr 0.013 0.490 0.990
Sr 0.502 0.000 0.504
Ca 0.491 0.003 0.007
Ca 0.513 0.492 0.989
Ca 0.514 0.490 0.478
Ti 0.258 0.744 0.243
Ti 0.259 0.744 0.746
Ti 0.751 0.246 0.747
Ti 0.752 0.745 0.746
Ti 0.753 0.744 0.242
Mn 0.259 0.246 0.244
Mn 0.259 0.246 0.747
Mn 0.752 0.247 0.243
O 0.007 0.764 0.273
O 0.008 0.224 0.260
O 0.008 0.720 0.717
O 0.012 0.271 0.733
O 0.227 0.765 0.996
O 0.233 0.000 0.722
O 0.238 0.489 0.225
O 0.245 0.215 0.997
O 0.282 0.001 0.262
O 0.284 0.275 0.496
O 0.288 0.489 0.774
O 0.295 0.720 0.495
O 0.502 0.213 0.768
O 0.506 0.280 0.221
O 0.506 0.722 0.205
O 0.506 0.779 0.786
O 0.716 0.495 0.732
O 0.722 0.752 0.493
O 0.729 0.002 0.227
O 0.738 0.239 0.489
O 0.767 0.261 0.998
O 0.772 0.491 0.257
O 0.781 0.997 0.750
O 0.788 0.730 0.993

Energy relative to the elements, uncorrected in eV/atom: -3.163


No. 5
A PBEsol-optimized structure of K3Au, computed with SCAN.

a = 4.075 Å, b = 4.075 Å, c = 11.002 Å
α = 90.00°, β = 90.00°, γ = 90.00°
Atoms (fractional coordinates):
K 0.000 0.000 0.000
K 0.500 0.500 0.337
K 0.500 0.500 0.663
Au 0.000 0.000 0.500

Energy relative to the elements in eV/atom: -0.198


No. 6
A PBEsol-optimized structure of Li2ReSi, computed with SCAN.

a = 2.818 Å, b = 2.818 Å, c = 26.687 Å
α = 90.00°, β = 90.00°, γ = 120.00°
Atoms (fractional coordinates):
Li 0.000 0.000 0.000
Li 0.000 0.000 0.236
Li 0.333 0.667 0.667
Li 0.333 0.667 0.903
Li 0.667 0.333 0.333
Li 0.667 0.333 0.570
Re 0.000 0.000 0.752
Re 0.333 0.667 0.419
Re 0.667 0.333 0.086
Si 0.000 0.000 0.488
Si 0.333 0.667 0.155
Si 0.667 0.333 0.822

Energy relative to the elements, uncorrected in eV/atom: 0.111


No. 7
A PBEsol-optimized structure of Ba2ZnNi, computed with SCAN.

a = 4.351 Å, b = 4.351 Å, c = 24.406 Å
α = 90.00°, β = 90.00°, γ = 120.00°
Atoms (fractional coordinates):
Ba 0.000 0.000 0.237
Ba 0.000 0.000 0.763
Ba 0.333 0.667 0.430
Ba 0.333 0.667 0.903
Ba 0.667 0.333 0.097
Ba 0.667 0.333 0.570
Zn 0.000 0.000 0.000
Zn 0.333 0.667 0.667
Zn 0.667 0.333 0.333
Ni 0.000 0.000 0.500
Ni 0.333 0.667 0.167
Ni 0.667 0.333 0.833

Energy relative to the elements in eV/atom: 0.194


No. 8
A PBEsol-optimized structure of Cu4Pd, computed with SCAN.

a = 5.788 Å, b = 5.788 Å, c = 7.164 Å
α = 90.00°, β = 90.00°, γ = 90.00°
Atoms (fractional coordinates):
Cu 0.000 0.000 0.000
Cu 0.000 0.000 0.500
Cu 0.097 0.297 0.249
Cu 0.097 0.297 0.751
Cu 0.192 0.604 0.000
Cu 0.297 0.903 0.251
Cu 0.297 0.903 0.749
Cu 0.396 0.192 0.500
Cu 0.500 0.500 0.250
Cu 0.500 0.500 0.750
Cu 0.604 0.808 0.500
Cu 0.703 0.097 0.251
Cu 0.703 0.097 0.749
Cu 0.808 0.396 0.000
Cu 0.903 0.703 0.249
Cu 0.903 0.703 0.751
Pd 0.207 0.602 0.500
Pd 0.398 0.207 0.000
Pd 0.602 0.793 0.000
Pd 0.793 0.398 0.500

Energy relative to the elements in eV/atom: -0.065


Number 1: E -414.13 eV for the cell shown. Number 2: E -80.39 eV for the cell shown. Number 3: E -303.54 eV for the cell shown. Number 4: E -551.35 eV for the cell shown. Number 5: E -94.93 eV for the cell shown. Number 6: E -256.34 eV for the cell shown. Number 7: E -324.04 eV for the cell shown. Number 8: E -375.59 eV for the cell shown.